A relaxed Sr8Ca4Ac crystal. Source: the Alexandria database, functional PBE-GGA.

Summary:
* DFT total energy: -0.06335 Ha/atom

a = 9.0660 Å, b = 9.0660 Å, c = 9.0660 Å
α = 89.96°, β = 89.96°, γ = 89.96°
Last column: nearest neighbours and their distance in Å.
Fractional positions:
Ca  0.5000  0.0000  0.5000  8 Sr 3.95
Ca  0.5000  0.5000  0.0000  8 Sr 3.95
Ca  0.0000  0.5000  0.5000  8 Sr 3.95
Ca  0.0000  0.0000  0.0000  8 Sr 3.86
Sr  0.7541  0.7541  0.2455  4 Ca 3.86-3.95, 1 Ac 3.99
Sr  0.7545  0.2459  0.2459  4 Ca 3.86-3.95, 1 Ac 3.99
Sr  0.2459  0.7545  0.2459  4 Ca 3.86-3.95, 1 Ac 3.99
Sr  0.7542  0.7542  0.7542  4 Ca 3.86-3.95, 1 Ac 3.99
Sr  0.2459  0.2459  0.7545  4 Ca 3.86-3.95, 1 Ac 3.99
Sr  0.7541  0.2455  0.7541  4 Ca 3.86-3.95, 1 Ac 3.99
Sr  0.2458  0.2458  0.2458  4 Ca 3.86-3.95, 1 Ac 3.99
Sr  0.2455  0.7541  0.7541  4 Ca 3.86-3.95, 1 Ac 3.99
Ac  0.5000  0.5000  0.5000  8 Sr 3.99



A relaxed SrCa6Ac3 crystal. Source: the Alexandria database, functional PBE-GGA.

Summary:
* DFT total energy: -0.09314 Ha/atom
* energy above the most stable polymorph in this dataset: 0 meV per atom

a = 3.8426 Å, b = 14.5859 Å, c = 16.0803 Å
α = 100.47°, β = 90.00°, γ = 90.00°
Last column: nearest neighbours and their distance in Å.
Fractional positions:
Ca  0.2500  0.4895  0.3033  4 Ac 3.80-3.84, 7 Ca 3.83-3.93
Ca  0.2500  0.8687  0.5099  6 Ca 3.84-4.19, 3 Sr 4.11-4.21, 2 Ac 4.12
Ca  0.2500  0.1927  0.9220  5 Ca 3.84-3.98, 5 Ac 3.87-3.97, 2 Sr 4.13
Ca  0.2500  0.2770  0.7043  7 Ca 3.84-4.17, 3 Ac 3.84-4.06, 2 Sr 4.03
Ca  0.7500  0.8073  0.0780  5 Ca 3.84-3.98, 5 Ac 3.87-3.97, 2 Sr 4.13
Ca  0.7500  0.5105  0.6967  4 Ac 3.80-3.84, 7 Ca 3.83-3.93
Ca  0.2500  0.6576  0.8826  4 Ac 3.80-3.97, 8 Ca 3.84-4.01
Ca  0.2500  0.2243  0.2895  3 Ac 3.77-4.01, 1 Sr 3.80, 7 Ca 3.83-4.19
Ca  0.7500  0.7757  0.7105  3 Ac 3.77-4.01, 1 Sr 3.80, 7 Ca 3.83-4.19
Ca  0.7500  0.1313  0.4901  6 Ca 3.84-4.19, 3 Sr 4.11-4.21, 2 Ac 4.12
Ca  0.7500  0.7230  0.2957  7 Ca 3.84-4.17, 3 Ac 3.84-4.06, 2 Sr 4.03
Ca  0.7500  0.3424  0.1174  4 Ac 3.80-3.97, 8 Ca 3.84-4.01
Ac  0.2500  0.3834  0.5025  7 Ca 3.77-4.12, 4 Ac 3.84-3.92
Ac  0.7500  0.4258  0.9070  8 Ca 3.80-4.06, 4 Ac 3.84-3.87
Ac  0.2500  0.9251  0.9083  4 Ac 3.84-3.85, 6 Ca 3.85-4.01, 2 Sr 4.21
Ac  0.7500  0.6166  0.4975  7 Ca 3.77-4.12, 4 Ac 3.84-3.92
Ac  0.2500  0.5742  0.0930  8 Ca 3.80-4.06, 4 Ac 3.84-3.87
Ac  0.7500  0.0749  0.0917  4 Ac 3.84-3.85, 6 Ca 3.85-4.01, 2 Sr 4.21
Sr  0.7500  0.0370  0.7159  8 Ca 3.80-4.21, 2 Sr 3.84, 2 Ac 4.21
Sr  0.2500  0.9630  0.2841  8 Ca 3.80-4.21, 2 Sr 3.84, 2 Ac 4.21



A relaxed Sr2Ca15Ac2 crystal. Source: the Alexandria database, functional PBE-GGA.

Summary:
* DFT total energy: -0.07670 Ha/atom

a = 9.6625 Å, b = 9.6625 Å, c = 9.6625 Å
α = 82.21°, β = 82.21°, γ = 82.21°
Last column: nearest neighbours and their distance in Å.
Fractional positions:
Ac  0.0985  0.0985  0.0985  1 Ac 3.72, 6 Ca 3.89-4.04
Ac  0.9015  0.9015  0.9015  1 Ac 3.72, 6 Ca 3.89-4.04
Ca  0.5000  0.0000  0.0000  8 Ca 3.69-3.70, 2 Ac 3.89
Ca  0.3528  0.8484  0.3528  8 Ca 3.70-3.98, 1 Ac 4.04
Ca  0.0000  0.7045  0.2955  8 Ca 3.69-3.98
Ca  0.1516  0.6472  0.6472  8 Ca 3.70-3.98, 1 Ac 4.04
Ca  0.0000  0.0000  0.5000  8 Ca 3.69-3.70, 2 Ac 3.89
Ca  0.6472  0.6472  0.1516  8 Ca 3.70-3.98, 1 Ac 4.04
Ca  0.7045  0.0000  0.2955  8 Ca 3.69-3.98
Ca  0.3528  0.3528  0.8484  8 Ca 3.70-3.98, 1 Ac 4.04
Ca  0.2955  0.0000  0.7045  8 Ca 3.69-3.98
Ca  0.7045  0.2955  0.0000  8 Ca 3.69-3.98
Ca  0.0000  0.2955  0.7045  8 Ca 3.69-3.98
Ca  0.6472  0.1516  0.6472  8 Ca 3.70-3.98, 1 Ac 4.04
Ca  0.2955  0.7045  0.0000  8 Ca 3.69-3.98
Ca  0.8484  0.3528  0.3528  8 Ca 3.70-3.98, 1 Ac 4.04
Ca  0.0000  0.5000  0.0000  8 Ca 3.69-3.70, 2 Ac 3.89
Sr  0.6689  0.6689  0.6689  1 Ac 4.39, 15 Ca 4.49-4.80
Sr  0.3311  0.3311  0.3311  1 Ac 4.39, 15 Ca 4.49-4.80



A relaxed SrCa4Ac2 crystal. Source: the Alexandria database, functional PBE-GGA.

Summary:
* DFT total energy: -0.07276 Ha/atom
* energy above the most stable polymorph in this dataset: 557 meV per atom

a = 6.1618 Å, b = 6.1618 Å, c = 10.3896 Å
α = 107.25°, β = 107.25°, γ = 90.00°
Last column: nearest neighbours and their distance in Å.
Fractional positions:
Ca  0.0000  0.5000  0.0000  2 Sr 3.08
Ca  0.8154  0.8154  0.6308  1 Sr 3.48
Ca  0.5000  0.0000  0.0000  2 Sr 3.08
Ca  0.1846  0.1846  0.3692  1 Sr 3.48
Ac  0.6082  0.6082  0.2164  5 Ca 3.70-3.91, 1 Ac 4.08
Ac  0.3918  0.3918  0.7836  5 Ca 3.70-3.91, 1 Ac 4.08
Sr  0.0000  0.0000  0.0000  4 Ca 3.08



A relaxed SrCa4Ac3 crystal. Source: the Alexandria database, functional PBE-GGA.

Summary:
* DFT total energy: -0.09959 Ha/atom

a = 5.6641 Å, b = 11.1696 Å, c = 11.2205 Å
α = 90.00°, β = 90.00°, γ = 90.00°
Last column: nearest neighbours and their distance in Å.
Fractional positions:
Ac  0.0644  0.6221  0.7558  5 Ac 3.93-3.96, 3 Sr 3.95-4.03, 4 Ca 3.96-4.06
Ac  0.5644  0.3779  0.7442  5 Ac 3.93-3.96, 3 Sr 3.95-4.03, 4 Ca 3.96-4.06
Ac  0.5644  0.6222  0.0000  6 Ac 3.94-3.96, 4 Ca 3.98-4.02, 2 Sr 4.02
Ac  0.0644  0.3778  0.5000  6 Ac 3.94-3.96, 4 Ca 3.98-4.02, 2 Sr 4.02
Ac  0.0644  0.6221  0.2442  5 Ac 3.93-3.96, 3 Sr 3.95-4.03, 4 Ca 3.96-4.06
Ac  0.5644  0.3779  0.2558  5 Ac 3.93-3.96, 3 Sr 3.95-4.03, 4 Ca 3.96-4.06
Ca  0.0644  0.8782  0.0000  8 Ca 3.92-3.96, 4 Ac 3.96-4.02
Ca  0.5644  0.1204  0.0000  8 Ca 3.87-4.02, 2 Sr 3.95, 2 Ac 4.06
Ca  0.5644  0.8781  0.7537  8 Ca 3.87-4.02, 1 Sr 3.95, 3 Ac 3.98-4.02
Ca  0.0644  0.1219  0.2537  8 Ca 3.87-4.02, 1 Sr 3.95, 3 Ac 3.98-4.02
Ca  0.0644  0.1219  0.7463  8 Ca 3.87-4.02, 1 Sr 3.95, 3 Ac 3.98-4.02
Ca  0.5644  0.8781  0.2463  8 Ca 3.87-4.02, 1 Sr 3.95, 3 Ac 3.98-4.02
Ca  0.5644  0.1218  0.5000  8 Ca 3.92-3.96, 4 Ac 3.96-4.02
Ca  0.0644  0.8796  0.5000  8 Ca 3.87-4.02, 2 Sr 3.95, 2 Ac 4.06
Sr  0.5644  0.6328  0.5000  8 Ac 3.95-4.03, 4 Ca 3.95
Sr  0.0644  0.3672  0.0000  8 Ac 3.95-4.03, 4 Ca 3.95



A relaxed Sr4Ca15Ac crystal. Source: the Alexandria database, functional PBE-GGA.

Summary:
* DFT total energy: -0.07417 Ha/atom

a = 5.6347 Å, b = 5.6347 Å, c = 28.1398 Å
α = 90.00°, β = 90.00°, γ = 90.00°
Last column: nearest neighbours and their distance in Å.
Fractional positions:
Ca  0.5000  0.5000  0.0000  8 Ca 3.93, 4 Ac 3.98
Ca  0.0000  0.5000  0.9025  2 Ac 3.93, 8 Ca 3.93-4.01, 2 Sr 3.99
Ca  0.5000  0.5000  0.3992  4 Sr 3.98, 8 Ca 3.99-4.00
Ca  0.5000  0.0000  0.7013  8 Ca 3.97-3.99, 4 Sr 4.00
Ca  0.0000  0.5000  0.0975  8 Ca 3.93-4.01, 2 Ac 3.93, 2 Sr 3.99
Ca  0.5000  0.0000  0.9025  2 Ac 3.93, 8 Ca 3.93-4.01, 2 Sr 3.99
Ca  0.0000  0.5000  0.7013  8 Ca 3.97-3.99, 4 Sr 4.00
Ca  0.5000  0.5000  0.8010  8 Ca 3.97-4.01, 4 Sr 3.98
Ca  0.5000  0.0000  0.2987  8 Ca 3.97-3.99, 4 Sr 4.00
Ca  0.0000  0.5000  0.5000  8 Ca 3.98-4.00, 4 Sr 3.99
Ca  0.5000  0.0000  0.0975  2 Ac 3.93, 8 Ca 3.93-4.01, 2 Sr 3.99
Ca  0.5000  0.0000  0.5000  8 Ca 3.98-4.00, 4 Sr 3.99
Ca  0.5000  0.5000  0.6008  4 Sr 3.98, 8 Ca 3.99-4.00
Ca  0.5000  0.5000  0.1990  8 Ca 3.97-4.01, 4 Sr 3.98
Ca  0.0000  0.5000  0.2987  8 Ca 3.97-3.99, 4 Sr 4.00
Sr  0.0000  0.0000  0.1977  12 Ca 3.98-4.00
Sr  0.0000  0.0000  0.3994  12 Ca 3.98-4.00
Sr  0.0000  0.0000  0.8023  12 Ca 3.98-4.00
Sr  0.0000  0.0000  0.6006  12 Ca 3.98-4.00
Ac  0.0000  0.0000  0.0000  12 Ca 3.93-3.98